## i
Below is a geometry-optimized Be3CoTc structure, with properties calculated at the GGA-PBE level.

M_tot = 0.361 μB per atom
Space-group type = Pm-3m, No. 221
Volume = 10.98 A^3/atom

Cell lengths 3.8008, 3.8008, 3.8008 Å; angles 90.00, 90.00, 90.00 degrees
Each line ends with the local moment (μB).
Fractional coordinates of all 5 atoms:
Be (0.0000, 0.5000, 0.0000)  -0.04
Be (0.0000, 0.0000, 0.5000)  -0.04
Be (0.5000, 0.0000, 0.0000)  -0.03
Co (0.0000, 0.0000, 0.0000)  0.28
Tc (0.5000, 0.5000, 0.5000)  1.57

***

## ii
Below is a geometry-optimized Be3CoTc structure, with properties calculated at the GGA-PBE level.

M_tot = 0.370 μB per atom
Space-group type = Pm-3m, No. 221
Volume = 13.68 A^3/atom

Cell lengths 4.0892, 4.0892, 4.0892 Å; angles 90.00, 90.00, 90.00 degrees
Each line ends with the local moment (μB).
Fractional coordinates of all 5 atoms:
Be (0.0000, 0.5000, 0.0000)  -0.05
Be (0.0000, 0.0000, 0.5000)  -0.04
Be (0.5000, 0.0000, 0.0000)  -0.02
Co (0.5000, 0.5000, 0.5000)  1.84
Tc (0.0000, 0.0000, 0.0000)  0.29

***

Least stable = ii

***

## i
Below is a geometry-optimized BeCoTe structure, with properties calculated at the GGA-PBE level.

M_tot = 0.111 μB per atom
Space-group type = P-6m2, No. 187
Volume = 14.65 A^3/atom

Cell lengths 3.7864, 3.7864, 3.5399 Å; angles 90.00, 90.00, 120.00 degrees
Each line ends with the local moment (μB).
Fractional coordinates of all 3 atoms:
Be (0.0000, 0.0000, 0.1666)  -0.01
Te (0.3333, 0.6667, 0.6665)  0.01
Co (0.6667, 0.3333, 0.1668)  0.32

***

## ii
Below is a geometry-optimized BeCoTe structure, with properties calculated at the GGA-PBE level.

M_tot = 0.000 μB per atom
Space-group type = F-43m, No. 216
Volume = 14.99 A^3/atom

Cell lengths 3.9920, 3.9920, 3.9920 Å; angles 60.00, 60.00, 60.00 degrees
Fractional coordinates of all 3 atoms:
Be (0.5000, 0.5000, 0.5000)
Te (0.0000, 0.0000, 0.0000)
Co (0.7500, 0.7500, 0.7500)

***

## iii
Below is a geometry-optimized BeCoTe structure, with properties calculated at the GGA-PBE level.

M_tot = 0.002 μB per atom
Space-group type = P3m1, No. 156
Volume = 15.61 A^3/atom

Cell lengths 3.1596, 3.1596, 5.4156 Å; angles 90.00, 90.00, 120.00 degrees
Fractional coordinates of all 3 atoms:
Be (0.0000, 0.0000, 0.0485)
Te (0.6667, 0.3333, 0.6399)
Co (0.3333, 0.6667, 0.3116)

***

Least stable = iii

***

## i
Below is a geometry-optimized BeCoTe structure, with properties calculated at the GGA-PBE level.

M_tot = 0.000 μB per atom
Space-group type = I4mm, No. 107
Volume = 14.21 A^3/atom

Cell lengths 4.3502, 4.3502, 4.3502 Å; angles 133.46, 133.46, 67.94 degrees
Fractional coordinates of all 3 atoms:
Be (0.0039, 0.0039, 0.0000)
Te (0.6719, 0.6719, 0.0000)
Co (0.3243, 0.3243, 0.0000)

***

## ii
Below is a geometry-optimized BeCoTe structure, with properties calculated at the GGA-PBE level.

M_tot = 0.000 μB per atom
Space-group type = C2/m, No. 12
Volume = 16.44 A^3/atom

Cell lengths 3.5887, 3.5892, 9.7662 Å; angles 111.54, 90.08, 119.99 degrees
Fractional coordinates of all 6 atoms:
Te (0.4648, 0.9322, 0.1994)
Te (0.5352, 0.0678, 0.8006)
Be (0.6600, 0.3201, 0.4901)
Be (0.3400, 0.6799, 0.5099)
Co (0.0901, 0.1791, 0.6342)
Co (0.9099, 0.8209, 0.3658)

***

Least stable = i

***

## i
Below is a geometry-optimized ThBe2Co2 structure, with properties calculated at the GGA-PBE level.

M_tot = 0.000 μB per atom
Space-group type = C2/m, No. 12
Volume = 13.66 A^3/atom

Cell lengths 3.9658, 3.9662, 5.1641 Å; angles 112.43, 112.58, 90.00 degrees
Fractional coordinates of all 5 atoms:
Th (0.0000, 0.0000, 0.0000)
Be (0.6387, 0.6389, 0.2774)
Be (0.3613, 0.3611, 0.7226)
Co (0.2500, 0.7504, 0.5000)
Co (0.7500, 0.2496, 0.5000)

***

## ii
Below is a geometry-optimized ThBe2Co2 structure, with properties calculated at the GGA-PBE level.

M_tot = 0.000 μB per atom
Space-group type = Fddd, No. 70
Volume = 13.88 A^3/atom

Cell lengths 5.3553, 5.3553, 6.5406 Å; angles 99.23, 99.23, 127.45 degrees
Fractional coordinates of all 10 atoms:
Th (0.5000, 0.5000, 0.0000)
Th (0.7500, 0.2500, 0.5000)
Be (0.1876, 0.8124, 0.0000)
Be (0.8124, 0.1876, 0.0000)
Be (0.0624, 0.9376, 0.5000)
Be (0.4376, 0.5624, 0.5000)
Co (0.8895, 0.8895, 0.7790)
Co (0.1105, 0.1105, 0.2210)
Co (0.1395, 0.6395, 0.2790)
Co (0.3605, 0.8605, 0.7210)

***

Least stable = i

***

## i
Below is a geometry-optimized ThBeCo structure, with properties calculated at the GGA-PBE level.

M_tot = 0.000 μB per atom
Space-group type = P-6m2, No. 187
Volume = 17.34 A^3/atom

Cell lengths 3.8547, 3.9473, 3.9473 Å; angles 120.00, 90.00, 90.00 degrees
Fractional coordinates of all 3 atoms:
Be (0.1665, 0.0000, 0.0000)
Co (0.1670, 0.6667, 0.3333)
Th (0.6665, 0.3333, 0.6667)

***

## ii
Below is a geometry-optimized ThBeCo structure, with properties calculated at the GGA-PBE level.

M_tot = 0.000 μB per atom
Space-group type = P4_12_12, No. 92
Volume = 18.41 A^3/atom

Cell lengths 6.3056, 6.3056, 5.5566 Å; angles 90.00, 90.00, 90.00 degrees
Fractional coordinates of all 12 atoms:
Co (0.4341, 0.4341, 0.0000)
Co (0.5659, 0.5659, 0.5000)
Co (0.0659, 0.9341, 0.2500)
Co (0.9341, 0.0659, 0.7500)
Be (0.6867, 0.3133, 0.7500)
Be (0.8133, 0.8133, 0.5000)
Be (0.1867, 0.1867, 0.0000)
Be (0.3133, 0.6867, 0.2500)
Th (0.7575, 0.2425, 0.2500)
Th (0.7425, 0.7425, 0.0000)
Th (0.2575, 0.2575, 0.5000)
Th (0.2425, 0.7575, 0.7500)

***

Least stable = ii

***

## i
Below is a geometry-optimized TiBe2Co2 structure, with properties calculated at the GGA-PBE level.

M_tot = 0.000 μB per atom
Space-group type = I4/mmm, No. 139
Volume = 11.10 A^3/atom

Cell lengths 3.4744, 3.4744, 5.2131 Å; angles 70.53, 70.53, 90.00 degrees
Fractional coordinates of all 5 atoms:
Be (0.7500, 0.2500, 0.5000)
Be (0.2500, 0.7500, 0.5000)
Co (0.3811, 0.3811, 0.2378)
Co (0.6189, 0.6189, 0.7622)
Ti (0.0000, 0.0000, 0.0000)

***

## ii
Below is a geometry-optimized TiBe2Co2 structure, with properties calculated at the GGA-PBE level.

M_tot = 0.020 μB per atom
Space-group type = C2/m, No. 12
Volume = 10.50 A^3/atom

Cell lengths 3.7788, 4.1136, 8.8023 Å; angles 59.78, 77.61, 62.66 degrees
Each line ends with the local moment (μB).
Fractional coordinates of all 10 atoms:
Ti (0.2500, 0.7500, 0.2500)  -0.01
Ti (0.7500, 0.2500, 0.7500)  -0.01
Be (0.3778, 0.1801, 0.5645)  0.00
Be (0.1224, 0.3199, 0.9355)  0.00
Be (0.6222, 0.8199, 0.4355)  0.00
Be (0.8776, 0.6801, 0.0645)  0.00
Co (0.4246, 0.7878, 0.8630)  0.06
Co (0.9246, 0.2878, 0.3630)  0.06
Co (0.5754, 0.2122, 0.1370)  0.06
Co (0.0754, 0.7122, 0.6370)  0.06

***

## iii
Below is a geometry-optimized TiBe2Co2 structure, with properties calculated at the GGA-PBE level.

M_tot = 0.171 μB per atom
Space-group type = I4/mmm, No. 139
Volume = 10.96 A^3/atom

Cell lengths 3.3559, 3.3559, 10.0149 Å; angles 99.65, 99.65, 90.00 degrees
Each line ends with the local moment (μB).
Fractional coordinates of all 10 atoms:
Ti (0.6255, 0.6255, 0.2511)  -0.01
Ti (0.3745, 0.3745, 0.7489)  -0.01
Be (0.0000, 0.5000, 0.0000)  0.00
Be (0.1787, 0.1787, 0.3575)  -0.02
Be (0.5000, 0.0000, 0.0000)  0.00
Be (0.8213, 0.8213, 0.6425)  -0.02
Co (0.7500, 0.2500, 0.5000)  0.92
Co (0.9306, 0.9306, 0.8612)  -0.03
Co (0.0694, 0.0694, 0.1388)  -0.03
Co (0.2500, 0.7500, 0.5000)  0.92

***

Least stable = i

***

## i
Below is a geometry-optimized TiBe2Co2 structure, with properties calculated at the GGA-PBE level.

M_tot = 0.000 μB per atom
Space-group type = P4/mbm, No. 127
Volume = 10.43 A^3/atom

Cell lengths 6.3489, 6.3489, 2.5864 Å; angles 90.00, 90.00, 90.00 degrees
Fractional coordinates of all 10 atoms:
Be (0.1411, 0.6411, 0.5000)
Be (0.6411, 0.8589, 0.5000)
Be (0.8589, 0.3589, 0.5000)
Be (0.3589, 0.1411, 0.5000)
Co (0.3488, 0.8488, 0.0000)
Co (0.8488, 0.6512, 0.0000)
Co (0.6512, 0.1512, 0.0000)
Co (0.1512, 0.3488, 0.0000)
Ti (0.0000, 0.0000, 0.0000)
Ti (0.5000, 0.5000, 0.0000)

***

## ii
Below is a geometry-optimized TiBe2Co2 structure, with properties calculated at the GGA-PBE level.

M_tot = 0.000 μB per atom
Space-group type = P4/mbm, No. 127
Volume = 10.28 A^3/atom

Cell lengths 6.2879, 6.2879, 2.6003 Å; angles 90.00, 90.00, 90.00 degrees
Fractional coordinates of all 10 atoms:
Be (0.3819, 0.8819, 0.0000)
Be (0.8819, 0.6181, 0.0000)
Be (0.6181, 0.1181, 0.0000)
Be (0.1181, 0.3819, 0.0000)
Co (0.1747, 0.6747, 0.5000)
Co (0.6747, 0.8253, 0.5000)
Co (0.8253, 0.3253, 0.5000)
Co (0.3253, 0.1747, 0.5000)
Ti (0.0000, 0.0000, 0.0000)
Ti (0.5000, 0.5000, 0.0000)

***

Least stable = i

***

## i
Below is a geometry-optimized Ti4BeCo structure, with properties calculated at the GGA-PBE level.

M_tot = 0.000 μB per atom
Space-group type = Cmc2_1, No. 36
Volume = 16.03 A^3/atom

Cell lengths 4.4207, 5.1952, 8.6643 Å; angles 90.00, 104.78, 90.00 degrees
Fractional coordinates of all 12 atoms:
Ti (0.8842, 0.2873, 0.7685)
Ti (0.1158, 0.7873, 0.2315)
Ti (0.4425, 0.8623, 0.8850)
Ti (0.5575, 0.3623, 0.1150)
Ti (0.7085, 0.5503, 0.4170)
Ti (0.2915, 0.0503, 0.5830)
Ti (0.6999, 0.0620, 0.3997)
Ti (0.3001, 0.5620, 0.6003)
Be (0.8431, 0.8056, 0.6863)
Be (0.1569, 0.3056, 0.3137)
Co (0.5763, 0.8661, 0.1526)
Co (0.4237, 0.3661, 0.8474)

***

## ii
Below is a geometry-optimized Ti4BeCo structure, with properties calculated at the GGA-PBE level.

M_tot = 0.000 μB per atom
Space-group type = I422, No. 97
Volume = 14.43 A^3/atom

Cell lengths 4.8863, 4.8863, 4.8863 Å; angles 103.61, 103.61, 121.97 degrees
Fractional coordinates of all 6 atoms:
Ti (0.5886, 0.0886, 0.1771)
Ti (0.9114, 0.4114, 0.8229)
Ti (0.0886, 0.9114, 0.5000)
Ti (0.4114, 0.5886, 0.5000)
Be (0.5000, 0.5000, 0.0000)
Co (0.0000, 0.0000, 0.0000)

***

Least stable = i

***

## i
Below is a geometry-optimized Ti3BeCo structure, with properties calculated at the GGA-PBE level.

M_tot = 0.000 μB per atom
Space-group type = Pm-3m, No. 221
Volume = 15.71 A^3/atom

Cell lengths 4.2824, 4.2824, 4.2824 Å; angles 90.00, 90.00, 90.00 degrees
Fractional coordinates of all 5 atoms:
Be (0.0000, 0.0000, 0.0000)
Co (0.5000, 0.5000, 0.5000)
Ti (0.0000, 0.5000, 0.0000)
Ti (0.0000, 0.0000, 0.5000)
Ti (0.5000, 0.0000, 0.0000)

***

## ii
Below is a geometry-optimized Ti3BeCo structure, with properties calculated at the GGA-PBE level.

M_tot = 0.000 μB per atom
Space-group type = Pm-3m, No. 221
Volume = 17.56 A^3/atom

Cell lengths 4.4446, 4.4446, 4.4446 Å; angles 90.00, 90.00, 90.00 degrees
Fractional coordinates of all 5 atoms:
Be (0.5000, 0.5000, 0.5000)
Co (0.0000, 0.0000, 0.0000)
Ti (0.0000, 0.5000, 0.0000)
Ti (0.0000, 0.0000, 0.5000)
Ti (0.5000, 0.0000, 0.0000)

***

Least stable = i

***

## i
Below is a geometry-optimized BeTl2Co structure, with properties calculated at the GGA-PBE level.

M_tot = 0.202 μB per atom
Space-group type = P2/m, No. 10
Volume = 18.63 A^3/atom

Cell lengths 4.0692, 3.2561, 5.6303 Å; angles 87.48, 90.00, 90.00 degrees
Each line ends with the local moment (μB).
Fractional coordinates of all 4 atoms:
Be (0.5000, 0.2500, 0.2500)  -0.01
Tl (0.0000, 0.0455, 0.9988)  -0.02
Tl (0.0000, 0.4545, 0.5012)  -0.02
Co (0.5000, 0.7500, 0.7500)  0.93

***

## ii
Below is a geometry-optimized BeTl2Co structure, with properties calculated at the GGA-PBE level.

M_tot = 0.253 μB per atom
Space-group type = I-4m2, No. 119
Volume = 17.70 A^3/atom

Cell lengths 5.3518, 5.3518, 5.3518 Å; angles 136.86, 136.86, 62.65 degrees
Each line ends with the local moment (μB).
Fractional coordinates of all 4 atoms:
Be (0.5000, 0.5000, 0.0000)  -0.01
Tl (0.0000, 0.0000, 0.0000)  0.01
Tl (0.2500, 0.7500, 0.5000)  -0.01
Co (0.7500, 0.2500, 0.5000)  1.10

***

## iii
Below is a geometry-optimized BeTl2Co structure, with properties calculated at the GGA-PBE level.

M_tot = 0.310 μB per atom
Space-group type = I-42d, No. 122
Volume = 19.48 A^3/atom

Cell lengths 7.1294, 7.1294, 5.9001 Å; angles 52.83, 52.83, 90.00 degrees
Each line ends with the local moment (μB).
Fractional coordinates of all 8 atoms:
Be (0.5000, 0.5000, 0.0000)  0.00
Be (0.2500, 0.7500, 0.5000)  0.00
Tl (0.6107, 0.1250, 0.2500)  -0.01
Tl (0.1393, 0.6250, 0.2500)  -0.01
Tl (0.3750, 0.3893, 0.7500)  -0.01
Tl (0.8750, 0.8607, 0.7500)  -0.01
Co (0.0000, 0.0000, 0.0000)  1.32
Co (0.7500, 0.2500, 0.5000)  1.31

***

## iv
Below is a geometry-optimized BeTl2Co structure, with properties calculated at the GGA-PBE level.

M_tot = 0.000 μB per atom
Space-group type = Fm-3m, No. 225
Volume = 17.30 A^3/atom

Cell lengths 4.6081, 4.6081, 4.6081 Å; angles 60.00, 60.00, 60.00 degrees
Fractional coordinates of all 4 atoms:
Be (0.0000, 0.0000, 0.0000)
Tl (0.2500, 0.2500, 0.2500)
Tl (0.7500, 0.7500, 0.7500)
Co (0.5000, 0.5000, 0.5000)

***

Least stable = iii

***

## i
Below is a geometry-optimized BeTl2Co structure, with properties calculated at the GGA-PBE level.

M_tot = 0.242 μB per atom
Space-group type = Pmmm, No. 47
Volume = 18.56 A^3/atom

Cell lengths 3.4689, 5.3171, 4.0241 Å; angles 90.00, 90.00, 90.00 degrees
Each line ends with the local moment (μB).
Fractional coordinates of all 4 atoms:
Be (0.5000, 0.0000, 0.5000)  -0.01
Tl (0.0000, 0.0000, 0.0000)  0.01
Tl (0.5000, 0.5000, 0.0000)  -0.03
Co (0.0000, 0.5000, 0.5000)  1.06

***

## ii
Below is a geometry-optimized BeTl2Co structure, with properties calculated at the GGA-PBE level.

M_tot = 0.362 μB per atom
Space-group type = R-3m, No. 166
Volume = 18.52 A^3/atom

Cell lengths 8.1809, 8.1809, 8.1809 Å; angles 23.12, 23.12, 23.12 degrees
Each line ends with the local moment (μB).
Fractional coordinates of all 4 atoms:
Be (0.2500, 0.2500, 0.2500)  0.01
Tl (0.9990, 0.9990, 0.9990)  0.00
Tl (0.5010, 0.5010, 0.5010)  0.00
Co (0.7500, 0.7500, 0.7500)  1.47

***

Least stable = i